Entry 1:
# U3Ge13Ir4

A relaxed structure of U3Ge13Ir4 (PBE, OQMD).

CIF file:
```
data_U3Ge13Ir4
_space_group_name_H-M_alt 'R 3 c'
_space_group_IT_number 161
_space_group_name_Hall 'R 3 -2"c'
_cell_length_a 12.6904
_cell_length_b 12.6904
_cell_length_c 15.6751
_cell_angle_alpha 90.00
_cell_angle_beta 90.00
_cell_angle_gamma 120.00
loop_
_atom_site_label
_atom_site_type_symbol
_atom_site_fract_x
_atom_site_fract_y
_atom_site_fract_z
U1 U 0.0842 0.4154 0.0000
Ge1 Ge 0.0000 0.0000 0.0855
Ge2 Ge 0.0070 0.1740 0.9161
Ge3 Ge 0.0449 0.2107 0.5364
Ge4 Ge 0.1083 0.3820 0.8089
Ge5 Ge 0.1556 0.0131 0.7259
Ir1 Ir 0.0000 0.0000 0.3324
Ir2 Ir 0.0005 0.5005 0.3322
```

Properties
Electronic total energy in eV/atom: -6.7924

Entry 2:
# LiTbPbS3

A relaxed structure of LiTbPbS3 (PBE, OQMD).

CIF file:
```
data_LiTbPbS3
_space_group_name_H-M_alt 'C m c m'
_space_group_IT_number 63
_space_group_name_Hall '-C 2c 2'
_cell_length_a 3.998
_cell_length_b 12.934
_cell_length_c 10.387
_cell_angle_alpha 90.00
_cell_angle_beta 90.00
_cell_angle_gamma 90.00
loop_
_atom_site_label
_atom_site_type_symbol
_atom_site_fract_x
_atom_site_fract_y
_atom_site_fract_z
Li1 Li 0.000 0.023 0.250
Tb1 Tb 0.000 0.500 0.000
Pb1 Pb 0.000 0.253 0.750
S1 S 0.000 0.135 0.069
S2 S 0.000 0.422 0.250
```

Properties
Relative energy among the computed polymorphs in meV/atom: 41

Entry 3:
# Ta2Cd

A relaxed structure of Ta2Cd (PBE, OQMD).

CIF file:
```
data_Ta2Cd
_space_group_name_H-M_alt 'F m -3 m'
_space_group_IT_number 225
_space_group_name_Hall '-F 4 2 3'
_cell_length_a 6.365
_cell_length_b 6.365
_cell_length_c 6.365
_cell_angle_alpha 90.00
_cell_angle_beta 90.00
_cell_angle_gamma 90.00
loop_
_atom_site_label
_atom_site_type_symbol
_atom_site_fract_x
_atom_site_fract_y
_atom_site_fract_z
Ta1 Ta 0.250 0.250 0.250
Cd1 Cd 0.000 0.000 0.000
```

Properties
Calculated formation energy in kJ/mol of atoms: 116.8

Entry 4:
# DyPt

A relaxed structure of DyPt (PBE, OQMD).

CIF file:
```
data_DyPt
_space_group_name_H-M_alt 'R -3 m'
_space_group_IT_number 166
_space_group_name_Hall '-R 3 2"'
_cell_length_a 3.8594
_cell_length_b 3.8594
_cell_length_c 10.6566
_cell_angle_alpha 90.00
_cell_angle_beta 90.00
_cell_angle_gamma 120.00
loop_
_atom_site_label
_atom_site_type_symbol
_atom_site_fract_x
_atom_site_fract_y
_atom_site_fract_z
Dy1 Dy 0.0000 0.0000 0.0000
Pt1 Pt 0.0000 0.0000 0.5000
```

Properties
Calculated formation energy in kJ/mol of atoms: -105.6

Entry 5:
# Cu2Ag3

A relaxed structure of Cu2Ag3 (PBE, OQMD).

CIF file:
```
data_Cu2Ag3
_space_group_name_H-M_alt 'P m m 2'
_space_group_IT_number 25
_space_group_name_Hall 'P 2 -2'
_cell_length_a 2.839
_cell_length_b 3.843
_cell_length_c 14.219
_cell_angle_alpha 90.00
_cell_angle_beta 90.00
_cell_angle_gamma 90.00
loop_
_atom_site_label
_atom_site_type_symbol
_atom_site_fract_x
_atom_site_fract_y
_atom_site_fract_z
Cu1 Cu 0.000 0.000 0.000
Cu2 Cu 0.000 0.000 0.191
Cu3 Cu 0.500 0.500 0.281
Cu4 Cu 0.500 0.500 0.694
Ag1 Ag 0.000 0.000 0.375
Ag2 Ag 0.000 0.000 0.596
Ag3 Ag 0.000 0.000 0.792
Ag4 Ag 0.500 0.500 0.097
Ag5 Ag 0.500 0.500 0.486
Ag6 Ag 0.500 0.500 0.901
```

Properties
Calculated formation energy in kJ/mol of atoms: 8.5
Relative energy among the computed polymorphs in meV/atom: 56

Entry 6:
# Er4AlSi4Ni2

A relaxed structure of Er4AlSi4Ni2 (PBE, OQMD).

CIF file:
```
data_Er4AlSi4Ni2
_space_group_name_H-M_alt 'C 1 2/m 1'
_space_group_IT_number 12
_space_group_name_Hall '-C 2y'
_cell_length_a 14.920
_cell_length_b 4.161
_cell_length_c 6.797
_cell_angle_alpha 90.00
_cell_angle_beta 108.55
_cell_angle_gamma 90.00
loop_
_atom_site_label
_atom_site_type_symbol
_atom_site_fract_x
_atom_site_fract_y
_atom_site_fract_z
Er1 Er 0.088 0.000 0.385
Er2 Er 0.154 0.000 0.939
Al1 Al 0.000 0.500 0.000
Si1 Si 0.063 0.500 0.662
Si2 Si 0.202 0.500 0.271
Ni1 Ni 0.217 0.500 0.641
```

Properties
Electronic total energy in eV/atom: -5.7905

Entry 7:
# MgScAlNi

A relaxed structure of MgScAlNi (PBE, OQMD).

CIF file:
```
data_MgScAlNi
_space_group_name_H-M_alt 'F -4 3 m'
_space_group_IT_number 216
_space_group_name_Hall 'F -4 2 3'
_cell_length_a 6.385
_cell_length_b 6.385
_cell_length_c 6.385
_cell_angle_alpha 90.00
_cell_angle_beta 90.00
_cell_angle_gamma 90.00
loop_
_atom_site_label
_atom_site_type_symbol
_atom_site_fract_x
_atom_site_fract_y
_atom_site_fract_z
Mg1 Mg 0.000 0.000 0.000
Sc1 Sc 0.250 0.250 0.750
Al1 Al 0.000 0.000 0.500
Ni1 Ni 0.250 0.250 0.250
```

Properties
Relative energy among the computed polymorphs in meV/atom: 86

Entry 8:
# K2Rb2HgBi2

A relaxed structure of K2Rb2HgBi2 (PBE, OQMD).

CIF file:
```
data_K2Rb2HgBi2
_space_group_name_H-M_alt 'R -3 m'
_space_group_IT_number 166
_space_group_name_Hall '-R 3 2"'
_cell_length_a 6.2649
_cell_length_b 6.2649
_cell_length_c 31.5725
_cell_angle_alpha 90.00
_cell_angle_beta 90.00
_cell_angle_gamma 120.00
loop_
_atom_site_label
_atom_site_type_symbol
_atom_site_fract_x
_atom_site_fract_y
_atom_site_fract_z
K1 K 0.0000 0.0000 0.1136
Rb1 Rb 0.0000 0.0000 0.2913
Hg1 Hg 0.0000 0.0000 0.5000
Bi1 Bi 0.0000 0.0000 0.4117
```

Properties
Relative energy among the computed polymorphs in meV/atom: 3

Entry 9:
# TlAg3GeTe4

A relaxed structure of TlAg3GeTe4 (PBE, OQMD).

CIF file:
```
data_TlAg3GeTe4
_space_group_name_H-M_alt 'P 1 21/m 1'
_space_group_IT_number 11
_space_group_name_Hall '-P 2yb'
_cell_length_a 6.889
_cell_length_b 8.173
_cell_length_c 10.874
_cell_angle_alpha 90.00
_cell_angle_beta 104.35
_cell_angle_gamma 90.00
loop_
_atom_site_label
_atom_site_type_symbol
_atom_site_fract_x
_atom_site_fract_y
_atom_site_fract_z
Tl1 Tl 0.198 0.250 0.053
Ag1 Ag 0.216 0.055 0.532
Ag2 Ag 0.317 0.250 0.772
Ge1 Ge 0.198 0.750 0.279
Te1 Te 0.031 0.514 0.730
Te2 Te 0.307 0.750 0.067
Te3 Te 0.462 0.750 0.505
```

Properties
Relative energy among the computed polymorphs in meV/atom: 0

Entry 10:
# K2NbH6Au

A relaxed structure of K2NbH6Au (PBE, OQMD).

CIF file:
```
data_K2NbH6Au
_space_group_name_H-M_alt 'P n m a'
_space_group_IT_number 62
_space_group_name_Hall '-P 2ac 2n'
_cell_length_a 9.019
_cell_length_b 5.232
_cell_length_c 11.989
_cell_angle_alpha 90.00
_cell_angle_beta 90.00
_cell_angle_gamma 90.00
loop_
_atom_site_label
_atom_site_type_symbol
_atom_site_fract_x
_atom_site_fract_y
_atom_site_fract_z
K1 K 0.109 0.250 0.234
K2 K 0.125 0.250 0.882
Nb1 Nb 0.203 0.250 0.571
H1 H 0.137 0.540 0.061
H2 H 0.154 0.508 0.670
H3 H 0.184 0.750 0.196
H4 H 0.229 0.750 0.925
Au1 Au 0.065 0.750 0.537
```

Properties
Electronic total energy in eV/atom: -3.7092

Entry 11:
# CdPtSO

A relaxed structure of CdPtSO (PBE, OQMD).

CIF file:
```
data_CdPtSO
_space_group_name_H-M_alt 'P 4/n m m'
_space_group_IT_number 129
_cell_length_a 4.166
_cell_length_b 4.166
_cell_length_c 8.071
_cell_angle_alpha 90.00
_cell_angle_beta 90.00
_cell_angle_gamma 90.00
loop_
_space_group_symop_operation_xyz
'x,y,z'
'-x,-y,-z'
'-y+1/2,x,z'
'y+1/2,-x,-z'
'-x+1/2,-y+1/2,z'
'x+1/2,y+1/2,-z'
'y,-x+1/2,z'
'-y,x+1/2,-z'
'x+1/2,-y,-z'
'-x+1/2,y,z'
'-y,-x,-z'
'y,x,z'
'-x,y+1/2,-z'
'x,-y+1/2,z'
'y+1/2,x+1/2,-z'
'-y+1/2,-x+1/2,z'
loop_
_atom_site_label
_atom_site_type_symbol
_atom_site_fract_x
_atom_site_fract_y
_atom_site_fract_z
Cd1 Cd 0.250 0.250 0.172
Pt1 Pt 0.250 0.250 0.540
S1 S 0.250 0.250 0.848
O1 O 0.250 0.750 0.500
```

Properties
Relative energy among the computed polymorphs in meV/atom: 444

Entry 12:
# HfCdPd

A relaxed structure of HfCdPd (PBE, OQMD).

CIF file:
```
data_HfCdPd
_space_group_name_H-M_alt 'F -4 3 m'
_space_group_IT_number 216
_space_group_name_Hall 'F -4 2 3'
_cell_length_a 6.463
_cell_length_b 6.463
_cell_length_c 6.463
_cell_angle_alpha 90.00
_cell_angle_beta 90.00
_cell_angle_gamma 90.00
loop_
_atom_site_label
_atom_site_type_symbol
_atom_site_fract_x
_atom_site_fract_y
_atom_site_fract_z
Hf1 Hf 0.000 0.000 0.000
Cd1 Cd 0.250 0.250 0.750
Pd1 Pd 0.250 0.250 0.250
```

Properties
Calculated formation energy in kJ/mol of atoms: 17.5

Entry 13:
# Nd4C2I2BrCl2

A relaxed structure of Nd4C2I2BrCl2 (PBE, OQMD).

CIF file:
```
data_Nd4C2I2BrCl2
_space_group_name_H-M_alt 'C 1 2/m 1'
_space_group_IT_number 12
_space_group_name_Hall '-C 2y'
_cell_length_a 20.215
_cell_length_b 3.989
_cell_length_c 8.234
_cell_angle_alpha 90.00
_cell_angle_beta 111.09
_cell_angle_gamma 90.00
loop_
_atom_site_label
_atom_site_type_symbol
_atom_site_fract_x
_atom_site_fract_y
_atom_site_fract_z
Nd1 Nd 0.005 0.000 0.302
Nd2 Nd 0.157 0.500 0.643
C1 C 0.037 0.500 0.535
I1 I 0.160 0.000 0.944
Br1 Br 0.000 0.500 0.000
Cl1 Cl 0.165 0.000 0.401
```

Properties
Electronic total energy in eV/atom: -5.4961

Entry 14:
# ErHf2In

A relaxed structure of ErHf2In (PBE, OQMD).

CIF file:
```
data_ErHf2In
_space_group_name_H-M_alt 'P 4/m m m'
_space_group_IT_number 123
_space_group_name_Hall '-P 4 2'
_cell_length_a 4.522
_cell_length_b 4.522
_cell_length_c 4.540
_cell_angle_alpha 90.00
_cell_angle_beta 90.00
_cell_angle_gamma 90.00
loop_
_atom_site_label
_atom_site_type_symbol
_atom_site_fract_x
_atom_site_fract_y
_atom_site_fract_z
Er1 Er 0.000 0.000 0.000
Hf1 Hf 0.000 0.500 0.500
In1 In 0.500 0.500 0.000
```

Properties
Electronic total energy in eV/atom: -6.8981

Entry 15:
# CoHgPbW

A relaxed structure of CoHgPbW (PBE, OQMD).

CIF file:
```
data_CoHgPbW
_space_group_name_H-M_alt 'F -4 3 m'
_space_group_IT_number 216
_space_group_name_Hall 'F -4 2 3'
_cell_length_a 6.697
_cell_length_b 6.697
_cell_length_c 6.697
_cell_angle_alpha 90.00
_cell_angle_beta 90.00
_cell_angle_gamma 90.00
loop_
_atom_site_label
_atom_site_type_symbol
_atom_site_fract_x
_atom_site_fract_y
_atom_site_fract_z
Co1 Co 0.000 0.000 0.000
Hg1 Hg 0.000 0.000 0.500
Pb1 Pb 0.250 0.250 0.750
W1 W 0.250 0.250 0.250
```

Properties
Relative energy among the computed polymorphs in meV/atom: 120

Entry 16:
# SiAg2HgTe2Se2

A relaxed structure of SiAg2HgTe2Se2 (PBE, OQMD).

CIF file:
```
data_SiAg2HgTe2Se2
_space_group_name_H-M_alt 'C 1 2 1'
_space_group_IT_number 5
_space_group_name_Hall 'C 2y'
_cell_length_a 13.664
_cell_length_b 6.158
_cell_length_c 6.137
_cell_angle_alpha 90.00
_cell_angle_beta 115.89
_cell_angle_gamma 90.00
loop_
_atom_site_label
_atom_site_type_symbol
_atom_site_fract_x
_atom_site_fract_y
_atom_site_fract_z
Si1 Si 0.000 0.000 0.000
Ag1 Ag 0.249 0.956 0.789
Hg1 Hg 0.000 0.501 0.500
Te1 Te 0.131 0.755 0.342
Se1 Se 0.110 0.201 0.876
```

Properties
Relative energy among the computed polymorphs in meV/atom: 0

Entry 17:
# FeCoReSi

A relaxed structure of FeCoReSi (PBE, OQMD).

CIF file:
```
data_FeCoReSi
_space_group_name_H-M_alt 'F -4 3 m'
_space_group_IT_number 216
_space_group_name_Hall 'F -4 2 3'
_cell_length_a 5.798
_cell_length_b 5.798
_cell_length_c 5.798
_cell_angle_alpha 90.00
_cell_angle_beta 90.00
_cell_angle_gamma 90.00
loop_
_atom_site_label
_atom_site_type_symbol
_atom_site_fract_x
_atom_site_fract_y
_atom_site_fract_z
Fe1 Fe 0.000 0.000 0.000
Co1 Co 0.250 0.250 0.750
Re1 Re 0.250 0.250 0.250
Si1 Si 0.000 0.000 0.500
```

Properties
Relative energy among the computed polymorphs in meV/atom: 0

Entry 18:
# NdMgInS3

A relaxed structure of NdMgInS3 (PBE, OQMD).

CIF file:
```
data_NdMgInS3
_space_group_name_H-M_alt 'C m c m'
_space_group_IT_number 63
_space_group_name_Hall '-C 2c 2'
_cell_length_a 4.172
_cell_length_b 13.964
_cell_length_c 11.197
_cell_angle_alpha 90.00
_cell_angle_beta 90.00
_cell_angle_gamma 90.00
loop_
_atom_site_label
_atom_site_type_symbol
_atom_site_fract_x
_atom_site_fract_y
_atom_site_fract_z
Nd1 Nd 0.000 0.000 0.000
Mg1 Mg 0.000 0.464 0.250
In1 In 0.000 0.249 0.750
S1 S 0.000 0.061 0.250
S2 S 0.000 0.373 0.067
```

Properties
Electronic total energy in eV/atom: -4.8634

Entry 19:
# LiAgF4

A relaxed structure of LiAgF4 (PBE, OQMD).

CIF file:
```
data_LiAgF4
_space_group_name_H-M_alt 'P 1 21/c 1'
_space_group_IT_number 14
_space_group_name_Hall '-P 2ybc'
_cell_length_a 5.292
_cell_length_b 4.708
_cell_length_c 5.553
_cell_angle_alpha 90.00
_cell_angle_beta 110.47
_cell_angle_gamma 90.00
loop_
_atom_site_label
_atom_site_type_symbol
_atom_site_fract_x
_atom_site_fract_y
_atom_site_fract_z
Li1 Li 0.000 0.000 0.000
Ag1 Ag 0.500 0.000 0.500
F1 F 0.139 0.170 0.345
F2 F 0.336 0.658 0.567
```

Properties
Relative energy among the computed polymorphs in meV/atom: 0

Entry 20:
# DyTmHg

A relaxed structure of DyTmHg (PBE, OQMD).

CIF file:
```
data_DyTmHg
_space_group_name_H-M_alt 'F -4 3 m'
_space_group_IT_number 216
_space_group_name_Hall 'F -4 2 3'
_cell_length_a 7.157
_cell_length_b 7.157
_cell_length_c 7.157
_cell_angle_alpha 90.00
_cell_angle_beta 90.00
_cell_angle_gamma 90.00
loop_
_atom_site_label
_atom_site_type_symbol
_atom_site_fract_x
_atom_site_fract_y
_atom_site_fract_z
Dy1 Dy 0.000 0.000 0.000
Tm1 Tm 0.000 0.000 0.500
Hg1 Hg 0.250 0.250 0.250
```

Properties
Calculated formation energy in kJ/mol of atoms: -11.6
Relative energy among the computed polymorphs in meV/atom: 245

Entry 21:
# CsNaPaSe3

A relaxed structure of CsNaPaSe3 (PBE, OQMD).

CIF file:
```
data_CsNaPaSe3
_space_group_name_H-M_alt 'C m c m'
_space_group_IT_number 63
_space_group_name_Hall '-C 2c 2'
_cell_length_a 4.407
_cell_length_b 15.864
_cell_length_c 11.401
_cell_angle_alpha 90.00
_cell_angle_beta 90.00
_cell_angle_gamma 90.00
loop_
_atom_site_label
_atom_site_type_symbol
_atom_site_fract_x
_atom_site_fract_y
_atom_site_fract_z
Cs1 Cs 0.000 0.233 0.250
Na1 Na 0.000 0.054 0.750
Pa1 Pa 0.000 0.500 0.000
Se1 Se 0.000 0.118 0.526
Se2 Se 0.000 0.452 0.750
```

Properties
Electronic total energy in eV/atom: -4.9622